P.
First-principles (GGA-PBE) data for an optimized crystal structure of YCuMo, as listed in Alexandria via LeMat-Bulk.

Fermi-level density of states	1.44	states/eV/atom

a b c (Å): 4.4581 4.4581 4.4581
angles (deg): 60.00 60.00 60.00
Closest atoms and distances in Å follow each position.
Fractional positions:
Mo 0.0000 0.0000 0.0000  4 Cu 2.73
Cu 0.2500 0.2500 0.2500  4 Mo 2.73, 4 Y 2.73
Y 0.5000 0.5000 0.5000  4 Cu 2.73



Q.
First-principles (GGA-PBE) data for an optimized crystal structure of YCuMo, as listed in Alexandria via LeMat-Bulk.

Fermi-level density of states	1.14	states/eV/atom

a b c (Å): 5.6850 5.6850 5.6850
angles (deg): 148.26 143.85 48.85
Closest atoms and distances in Å follow each position.
Fractional positions:
Y 0.6653 0.6653 0.0000  5 Cu 3.09-3.18, 2 Y 3.11, 5 Mo 3.12-3.13
Mo 0.3627 0.3627 0.0000  4 Cu 2.61
Cu 0.9720 0.9720 0.0000  4 Mo 2.61



Bottom line: Q, by a margin of 372 meV/atom.



P.
First-principles (GGA-PBE) data for an optimized crystal structure of YCuMo, as listed in Alexandria via LeMat-Bulk.

Fermi-level density of states	1.22	states/eV/atom

a b c (Å): 4.2888 4.2888 3.8198
angles (deg): 90.00 90.00 120.00
Closest atoms and distances in Å follow each position.
Fractional positions:
Cu 0.0000 0.0000 0.1666  3 Mo 2.48
Y 0.3333 0.6667 0.6667  6 Cu 3.13, 6 Mo 3.13
Mo 0.6667 0.3333 0.1667  3 Cu 2.48



Q.
First-principles (GGA-PBE) data for an optimized crystal structure of YCuMo, as listed in Alexandria via LeMat-Bulk.

Fermi-level density of states	0.69	states/eV/atom

a b c (Å): 4.6305 4.6305 4.6305
angles (deg): 60.00 60.00 60.00
Closest atoms and distances in Å follow each position.
Fractional positions:
Cu 0.0000 0.0000 0.0000  4 Y 2.84
Y 0.2500 0.2500 0.2500  4 Mo 2.84, 4 Cu 2.84
Mo 0.5000 0.5000 0.5000  4 Y 2.84



R.
First-principles (GGA-PBE) data for an optimized crystal structure of YCuMo, as listed in Alexandria via LeMat-Bulk.

Fermi-level density of states	1.09	states/eV/atom

a b c (Å): 3.1424 3.1424 6.7537
angles (deg): 90.00 90.00 120.00
Closest atoms and distances in Å follow each position.
Fractional positions:
Cu 0.0000 0.0000 0.0246  3 Mo 2.64
Y 0.3333 0.6667 0.6665  3 Mo 3.02, 3 Cu 3.02, 6 Y 3.14
Mo 0.6667 0.3333 0.3089  3 Cu 2.64



Bottom line: P, by a margin of 203 meV/atom.



P.
First-principles (GGA-PBE) data for an optimized crystal structure of Zn2CuMo, as listed in Alexandria via LeMat-Bulk.

Fermi-level density of states	0.55	states/eV/atom

a b c (Å): 5.3187 5.3187 5.3187
angles (deg): 151.24 127.62 60.85
Closest atoms and distances in Å follow each position.
Fractional positions:
Cu 0.7500 0.2500 0.5000  4 Zn 2.51, 2 Cu 2.64, 4 Mo 2.69
Zn 0.5176 0.5176 0.0000  2 Cu 2.51, 6 Zn 2.64-2.71, 2 Mo 2.79
Mo 0.2500 0.7500 0.5000  2 Mo 2.64, 4 Cu 2.69, 4 Zn 2.79
Zn 0.9824 0.9824 0.0000  2 Cu 2.51, 6 Zn 2.64-2.71, 2 Mo 2.79



Q.
First-principles (GGA-PBE) data for an optimized crystal structure of Zn2CuMo, as listed in Alexandria via LeMat-Bulk.

Fermi-level density of states	0.53	states/eV/atom

a b c (Å): 9.1728 9.1728 9.1728
angles (deg): 17.04 17.04 17.04
Closest atoms and distances in Å follow each position.
Fractional positions:
Mo 0.7523 0.7523 0.7523  6 Mo 2.72, 3 Cu 2.73, 3 Zn 2.79
Zn 0.2461 0.2461 0.2461  3 Cu 2.64, 9 Zn 2.72-2.85
Cu 0.5012 0.5012 0.5012  3 Zn 2.64, 6 Cu 2.72, 3 Mo 2.73
Zn 0.0004 0.0004 0.0004  9 Zn 2.72-2.85, 3 Mo 2.79



R.
First-principles (GGA-PBE) data for an optimized crystal structure of Zn2CuMo, as listed in Alexandria via LeMat-Bulk.

Fermi-level density of states	0.60	states/eV/atom

a b c (Å): 4.3262 4.3262 4.3262
angles (deg): 60.00 60.00 60.00
Closest atoms and distances in Å follow each position.
Fractional positions:
Zn 0.0000 0.0000 0.0000  4 Zn 2.65, 4 Mo 2.65
Mo 0.2500 0.2500 0.2500  4 Zn 2.65, 4 Cu 2.65
Cu 0.5000 0.5000 0.5000  4 Mo 2.65, 4 Zn 2.65
Zn 0.7500 0.7500 0.7500  4 Cu 2.65, 4 Zn 2.65



Bottom line: Q, by a margin of 26 meV/atom.



P.
First-principles (GGA-PBE) data for an optimized crystal structure of Zn2CuMo, as listed in Alexandria via LeMat-Bulk.

Fermi-level density of states	0.43	states/eV/atom

a b c (Å): 2.6678 2.6678 7.8813
angles (deg): 90.00 90.00 90.00
Closest atoms and distances in Å follow each position.
Fractional positions:
Cu 0.5000 0.5000 0.0000  8 Zn 2.65, 4 Cu 2.67
Mo 0.5000 0.5000 0.5000  4 Mo 2.67, 8 Zn 2.81
Zn 0.0000 0.0000 0.2353  4 Cu 2.65, 4 Zn 2.67, 4 Mo 2.81
Zn 0.0000 0.0000 0.7647  4 Cu 2.65, 4 Zn 2.67, 4 Mo 2.81



Q.
First-principles (GGA-PBE) data for an optimized crystal structure of Zn2CuMo, as listed in Alexandria via LeMat-Bulk.

Fermi-level density of states	0.54	states/eV/atom

a b c (Å): 4.3355 2.5948 5.1015
angles (deg): 82.58 90.00 90.00
Closest atoms and distances in Å follow each position.
Fractional positions:
Zn 0.0000 0.1371 0.9846  2 Cu 2.54-2.80, 4 Zn 2.59-2.60, 4 Mo 2.72-2.82
Zn 0.5000 0.1859 0.2628  2 Cu 2.59, 4 Zn 2.59-2.60, 2 Mo 2.65-2.77
Cu 0.0000 0.4395 0.4917  4 Zn 2.54-2.80, 2 Cu 2.59, 2 Mo 2.73
Mo 0.5000 0.7375 0.7609  2 Mo 2.59, 6 Zn 2.65-2.82, 2 Cu 2.73



Bottom line: P, by a margin of 125 meV/atom.



P.
First-principles (GGA-PBE) data for an optimized crystal structure of ZnCu2Mo2, as listed in Alexandria via LeMat-Bulk.

Fermi-level density of states	0.86	states/eV/atom

a b c (Å): 3.4656 3.4656 6.8827
angles (deg): 75.42 75.42 90.00
Closest atoms and distances in Å follow each position.
Fractional positions:
Mo 0.4097 0.4097 0.1807  1 Mo 2.32
Mo 0.5903 0.5903 0.8193  1 Mo 2.32
Zn 0.0000 0.0000 0.0000  8 Mo 2.71
Cu 0.2500 0.7500 0.5000  4 Cu 2.45, 4 Mo 2.69
Cu 0.7500 0.2500 0.5000  4 Cu 2.45, 4 Mo 2.69



Q.
First-principles (GGA-PBE) data for an optimized crystal structure of ZnCu2Mo2, as listed in Alexandria via LeMat-Bulk.

Fermi-level density of states	0.87	states/eV/atom

a b c (Å): 7.6180 7.6180 2.6620
angles (deg): 90.00 90.00 90.00
Closest atoms and distances in Å follow each position.
Fractional positions:
Mo 0.3828 0.8828 0.0000  3 Mo 2.52-2.66, 6 Cu 2.59-2.65
Cu 0.3230 0.1770 0.5000  6 Mo 2.59-2.65, 2 Cu 2.66
Cu 0.8230 0.3230 0.5000  6 Mo 2.59-2.65, 2 Cu 2.66
Zn 0.0000 0.0000 0.0000  2 Zn 2.66
Mo 0.6172 0.1172 0.0000  3 Mo 2.52-2.66, 6 Cu 2.59-2.65
Cu 0.1770 0.6770 0.5000  6 Mo 2.59-2.65, 2 Cu 2.66
Cu 0.6770 0.8230 0.5000  6 Mo 2.59-2.65, 2 Cu 2.66
Mo 0.8828 0.6172 0.0000  3 Mo 2.52-2.66, 6 Cu 2.59-2.65
Zn 0.5000 0.5000 0.0000  2 Zn 2.66
Mo 0.1172 0.3828 0.0000  3 Mo 2.52-2.66, 6 Cu 2.59-2.65



Bottom line: Q, by a margin of 72 meV/atom.



P.
First-principles (GGA-PBE) data for an optimized crystal structure of ZnCuMo3, as listed in Alexandria via LeMat-Bulk.

Fermi-level density of states	0.89	states/eV/atom

a b c (Å): 4.5354 4.5354 4.5354
angles (deg): 90.00 90.00 90.00
Closest atoms and distances in Å follow each position.
Fractional positions:
Cu 0.5000 0.5000 0.5000  12 Mo 3.21
Mo 0.0000 0.0000 0.5000  2 Zn 2.27
Zn 0.0000 0.0000 0.0000  6 Mo 2.27
Mo 0.0000 0.5000 0.0000  2 Zn 2.27
Mo 0.5000 0.0000 0.0000  2 Zn 2.27



Q.
First-principles (GGA-PBE) data for an optimized crystal structure of ZnCuMo3, as listed in Alexandria via LeMat-Bulk.

Fermi-level density of states	0.84	states/eV/atom

a b c (Å): 4.5089 4.5089 4.5089
angles (deg): 90.00 90.00 90.00
Closest atoms and distances in Å follow each position.
Fractional positions:
Zn 0.5000 0.5000 0.5000  12 Mo 3.19
Mo 0.5000 0.0000 0.0000  2 Cu 2.25
Mo 0.0000 0.5000 0.0000  2 Cu 2.25
Mo 0.0000 0.0000 0.5000  2 Cu 2.25
Cu 0.0000 0.0000 0.0000  6 Mo 2.25



Bottom line: Q, by a margin of 262 meV/atom.